# POsW2F

POsW2F after structural relaxation (GGA+U, Alexandria).

## Properties
- Total DFT energy (no corrections): -5.413 eV per atom
- Mass density: 9.90 g cm⁻³
- Volume: 20.38 Å³/atom
- Fermi-level density of states: 2.71 states/eV/cell

a b c (Å): 5.0579 3.9836 5.0579
angles (deg): 90.00 90.00 90.00
With the nearest neighbours (Å) after each atom.
Positions (direct):
P  0.5000  0.5000  0.5000  8 W 3.22, 4 F 3.58
Os  0.0000  0.0000  0.0000  2 F 1.99
W  0.0000  0.0000  0.5000  2 Os 2.53
W  0.5000  0.0000  0.0000  2 Os 2.53
F  0.0000  0.5000  0.0000  2 Os 1.99